[1]
Below is a geometry-optimized Na7HgAu3 structure, with properties calculated at the PBE-GGA level.

a = 12.245 Å, b = 12.245 Å, c = 13.654 Å
α = 90.00°, β = 90.00°, γ = 164.21°
Fractional positions:
Na  0.019  0.981  0.606
Na  0.019  0.981  0.894
Na  0.094  0.906  0.250
Na  0.157  0.843  0.589
Na  0.157  0.843  0.911
Na  0.292  0.708  0.624
Na  0.292  0.708  0.876
Na  0.708  0.292  0.124
Na  0.708  0.292  0.376
Na  0.843  0.157  0.089
Na  0.843  0.157  0.411
Na  0.906  0.094  0.750
Na  0.981  0.019  0.106
Na  0.981  0.019  0.394
Hg  0.407  0.593  0.250
Hg  0.593  0.407  0.750
Au  0.284  0.716  0.250
Au  0.413  0.587  0.557
Au  0.413  0.587  0.943
Au  0.587  0.413  0.057
Au  0.587  0.413  0.443
Au  0.716  0.284  0.750

Values from the calculation:
* raw total energy: -1.9935 eV per atom
* ΔH_f (0 K): -233 meV per atom
* ρ: 5.7 Mg/m³

[2]
Below is a geometry-optimized Pm6Cd2In structure, with properties calculated at the PBE-GGA level.

a = 6.463 Å, b = 6.463 Å, c = 6.463 Å
α = 90.69°, β = 90.69°, γ = 90.69°
Fractional positions:
Pm  0.004  0.686  0.310
Pm  0.218  0.526  0.843
Pm  0.310  0.004  0.686
Pm  0.526  0.843  0.218
Pm  0.686  0.310  0.004
Pm  0.843  0.218  0.526
Cd  0.130  0.130  0.130
Cd  0.402  0.402  0.402
In  0.763  0.763  0.763

Values from the calculation:
* raw total energy: -3.8215 eV per atom
* ΔH_f (0 K): -147 meV per atom
* ρ: 7.4 Mg/m³

[3]
Below is a geometry-optimized PuAlGaPt structure, with properties calculated at the PBE-GGA level.

a = 5.713 Å, b = 5.713 Å, c = 5.713 Å
α = 43.67°, β = 43.67°, γ = 43.67°
Fractional positions:
Pu  0.000  0.000  0.000
Al  0.791  0.791  0.791
Ga  0.218  0.218  0.218
Pt  0.490  0.490  0.490

Values from the calculation:
* raw total energy: -7.3747 eV per atom
* ΔH_f (0 K): -589 meV per atom
* ρ: 11.0 Mg/m³

[4]
Below is a geometry-optimized Tl2CuTcBr structure, with properties calculated at the PBE-GGA level.

a = 5.328 Å, b = 5.328 Å, c = 4.877 Å
α = 90.00°, β = 90.00°, γ = 90.00°
Fractional positions:
Tl  0.000  0.500  0.000
Tl  0.500  0.000  0.000
Cu  0.000  0.000  0.000
Tc  0.500  0.500  0.500
Br  0.000  0.000  0.500

Values from the calculation:
* raw total energy: -3.2146 eV per atom
* ρ: 7.8 Mg/m³
* ΔE_f (raw): 0.959 eV per atom

[5]
Below is a geometry-optimized V2AgHAu structure, with properties calculated at the PBE-GGA level.

a = 3.815 Å, b = 3.815 Å, c = 4.311 Å
α = 90.00°, β = 90.00°, γ = 90.00°
Fractional positions:
V  0.000  0.500  0.000
V  0.500  0.000  0.000
Ag  0.000  0.000  0.500
H  0.000  0.000  0.000
Au  0.500  0.500  0.500

Values from the calculation:
* raw total energy: -5.3873 eV per atom
* ρ: 10.8 Mg/m³

[6]
Below is a geometry-optimized KCaSc structure, with properties calculated at the PBE-GGA level.

a = 5.889 Å, b = 5.889 Å, c = 5.889 Å
α = 60.00°, β = 60.00°, γ = 60.00°
Fractional positions:
K  0.000  0.000  0.000
Ca  0.250  0.250  0.250
Sc  0.750  0.750  0.750

Values from the calculation:
* energy above the most stable polymorph in this dataset: 690 meV per atom
* raw total energy: -2.0654 eV per atom
* ΔH_f (0 K): 1078 meV per atom
* ρ: 1.4 Mg/m³

[7]
Below is a geometry-optimized LaAsOs2 structure, with properties calculated at the PBE-GGA level.

a = 5.262 Å, b = 5.262 Å, c = 5.517 Å
α = 110.80°, β = 110.80°, γ = 34.43°
Fractional positions:
La  0.000  0.000  0.000
As  0.202  0.202  0.684
Os  0.488  0.488  0.463
Os  0.770  0.770  0.397

Values from the calculation:
* raw total energy: -7.9934 eV per atom
* ΔH_f (0 K): 16 meV per atom
* ρ: 12.3 Mg/m³

[8]
Below is a geometry-optimized RbNdSb2Au2 structure, with properties calculated at the PBE-GGA level.

a = 4.711 Å, b = 4.711 Å, c = 9.643 Å
α = 90.00°, β = 90.00°, γ = 120.00°
Fractional positions:
Rb  0.000  0.000  0.000
Nd  0.000  0.000  0.500
Sb  0.333  0.667  0.721
Sb  0.667  0.333  0.279
Au  0.333  0.667  0.317
Au  0.667  0.333  0.683

Values from the calculation:
* raw total energy: -4.1408 eV per atom
* ρ: 7.8 Mg/m³
* ΔE_f (raw): -0.718 eV per atom

[9]
Below is a geometry-optimized GaTc2MoC structure, with properties calculated at the PBE-GGA level.

a = 4.086 Å, b = 4.086 Å, c = 4.114 Å
α = 90.00°, β = 90.00°, γ = 90.00°
Fractional positions:
Ga  0.000  0.000  0.000
Tc  0.000  0.500  0.500
Tc  0.500  0.000  0.500
Mo  0.500  0.500  0.000
C  0.500  0.500  0.500

Values from the calculation:
* raw total energy: -8.6673 eV per atom
* ΔH_f (0 K): 96 meV per atom
* ρ: 9.0 Mg/m³

[10]
Below is a geometry-optimized TaAg2Ir structure, with properties calculated at the PBE-GGA level.

a = 2.751 Å, b = 2.751 Å, c = 9.900 Å
α = 90.00°, β = 90.00°, γ = 114.71°
Fractional positions:
Ta  0.000  0.000  0.000
Ag  0.500  0.500  0.254
Ag  0.500  0.500  0.746
Ir  0.000  0.000  0.500

Values from the calculation:
* energy above the most stable polymorph in this dataset: 370 meV per atom
* raw total energy: -6.2090 eV per atom
* ΔH_f (0 K): 395 meV per atom
* ρ: 14.4 Mg/m³

[11]
Below is a geometry-optimized La6GeN2 structure, with properties calculated at the PBE-GGA level.

a = 7.328 Å, b = 7.328 Å, c = 9.200 Å
α = 122.43°, β = 122.43°, γ = 39.33°
Fractional positions:
La  0.025  0.025  0.197
La  0.304  0.304  0.933
La  0.339  0.339  0.401
La  0.661  0.661  0.599
La  0.696  0.696  0.067
La  0.975  0.975  0.803
Ge  0.000  0.000  0.500
N  0.169  0.169  0.089
N  0.831  0.831  0.911

Values from the calculation:
* raw total energy: -6.3654 eV per atom
* ρ: 6.0 Mg/m³
* ΔE_f (raw): -0.717 eV per atom

[12]
Below is a geometry-optimized ReHg2W structure, with properties calculated at the PBE-GGA level.

a = 5.080 Å, b = 2.901 Å, c = 5.133 Å
α = 90.00°, β = 109.51°, γ = 90.00°
Fractional positions:
Re  0.000  0.000  0.000
Hg  0.000  0.500  0.500
Hg  0.500  0.000  0.500
W  0.500  0.500  0.000

Values from the calculation:
* energy above the most stable polymorph in this dataset: 384 meV per atom
* raw total energy: -5.6171 eV per atom
* ΔH_f (0 K): 884 meV per atom
* ρ: 18.0 Mg/m³

[13]
Below is a geometry-optimized Pr4Se3O2 structure, with properties calculated at the PBE-GGA level.

a = 8.209 Å, b = 8.209 Å, c = 6.633 Å
α = 91.00°, β = 91.00°, γ = 76.30°
Fractional positions:
Pr  0.067  0.701  0.973
Pr  0.262  0.417  0.421
Pr  0.299  0.933  0.527
Pr  0.417  0.262  0.921
Pr  0.583  0.738  0.079
Pr  0.701  0.067  0.473
Pr  0.738  0.583  0.579
Pr  0.933  0.299  0.027
Se  0.006  0.756  0.458
Se  0.244  0.994  0.042
Se  0.394  0.606  0.750
Se  0.606  0.394  0.250
Se  0.756  0.006  0.958
Se  0.994  0.244  0.542
O  0.168  0.420  0.085
O  0.420  0.168  0.585
O  0.580  0.832  0.415
O  0.832  0.580  0.915

Values from the calculation:
* energy above the most stable polymorph in this dataset: 36 meV per atom
* raw total energy: -6.7427 eV per atom
* ρ: 6.4 Mg/m³
* ΔE_f (raw): -2.355 eV per atom

[14]
Below is a geometry-optimized Cr2Ni9Ir structure, with properties calculated at the PBE-GGA level.

a = 4.374 Å, b = 5.601 Å, c = 6.169 Å
α = 111.31°, β = 90.42°, γ = 105.21°
Fractional positions:
Cr  0.082  0.240  0.074
Cr  0.918  0.760  0.926
Ni  0.168  0.004  0.670
Ni  0.244  0.749  0.243
Ni  0.336  0.503  0.839
Ni  0.413  0.247  0.412
Ni  0.500  0.000  0.000
Ni  0.587  0.753  0.588
Ni  0.664  0.497  0.161
Ni  0.756  0.251  0.757
Ni  0.832  0.996  0.330
Ir  0.000  0.500  0.500

Values from the calculation:
* raw total energy: -6.6811 eV per atom
* ΔH_f (0 K): -3 meV per atom
* ρ: 10.1 Mg/m³

[15]
Below is a geometry-optimized Pm6In5Hg structure, with properties calculated at the PBE-GGA level.

a = 5.451 Å, b = 7.678 Å, c = 8.598 Å
α = 90.00°, β = 108.12°, γ = 90.00°
Fractional positions:
Pm  0.000  0.247  0.000
Pm  0.000  0.753  0.000
Pm  0.335  0.249  0.669
Pm  0.335  0.751  0.669
Pm  0.665  0.249  0.331
Pm  0.665  0.751  0.331
In  0.166  0.000  0.332
In  0.167  0.500  0.334
In  0.500  0.500  0.000
In  0.833  0.500  0.666
In  0.834  0.000  0.668
Hg  0.500  0.000  0.000

Values from the calculation:
* raw total energy: -4.0338 eV per atom
* ΔH_f (0 K): -492 meV per atom
* ρ: 8.0 Mg/m³

[16]
Below is a geometry-optimized Co3Sn2Ge2 structure, with properties calculated at the PBE-GGA level.

a = 6.231 Å, b = 6.231 Å, c = 5.238 Å
α = 95.52°, β = 95.52°, γ = 36.68°
Fractional positions:
Co  0.000  0.000  0.000
Co  0.208  0.208  0.847
Co  0.792  0.792  0.153
Sn  0.163  0.163  0.356
Sn  0.837  0.837  0.644
Ge  0.397  0.397  0.110
Ge  0.603  0.603  0.890

Values from the calculation:
* raw total energy: -5.5623 eV per atom
* ΔH_f (0 K): -54 meV per atom
* ρ: 7.7 Mg/m³

[17]
Below is a geometry-optimized YUWC3 structure, with properties calculated at the PBE-GGA level.

a = 7.086 Å, b = 3.613 Å, c = 7.944 Å
α = 90.00°, β = 94.35°, γ = 90.00°
Fractional positions:
Y  0.151  0.250  0.156
Y  0.849  0.750  0.844
U  0.368  0.750  0.837
U  0.632  0.250  0.163
W  0.105  0.250  0.597
W  0.895  0.750  0.403
C  0.129  0.250  0.850
C  0.181  0.750  0.510
C  0.417  0.750  0.117
C  0.583  0.250  0.883
C  0.819  0.250  0.490
C  0.871  0.750  0.150

Values from the calculation:
* raw total energy: -9.6495 eV per atom
* ΔH_f (0 K): 80 meV per atom
* ρ: 9.0 Mg/m³

[18]
Below is a geometry-optimized LaHI2N structure, with properties calculated at the PBE-GGA level.

a = 6.697 Å, b = 6.697 Å, c = 4.177 Å
α = 90.00°, β = 90.00°, γ = 90.00°
Fractional positions:
La  0.000  0.000  0.000
H  0.500  0.500  0.500
I  0.000  0.500  0.000
I  0.500  0.000  0.000
N  0.000  0.000  0.500

Values from the calculation:
* energy above the most stable polymorph in this dataset: 73 meV per atom
* raw total energy: -3.7613 eV per atom
* ρ: 3.6 Mg/m³

[19]
Below is a geometry-optimized BeMo3Ir structure, with properties calculated at the PBE-GGA level.

a = 4.728 Å, b = 4.728 Å, c = 4.728 Å
α = 90.00°, β = 90.00°, γ = 90.00°
Fractional positions:
Be  0.000  0.000  0.000
Mo  0.000  0.500  0.500
Mo  0.500  0.000  0.500
Mo  0.500  0.500  0.000
Ir  0.500  0.500  0.500

Values from the calculation:
* energy above the most stable polymorph in this dataset: 1322 meV per atom
* raw total energy: -7.1334 eV per atom
* ΔH_f (0 K): 1883 meV per atom
* ρ: 7.7 Mg/m³

[20]
Below is a geometry-optimized Ba3InCo structure, with properties calculated at the PBE-GGA level.

a = 5.843 Å, b = 5.843 Å, c = 5.843 Å
α = 90.00°, β = 90.00°, γ = 90.00°
Fractional positions:
Ba  0.000  0.000  0.500
Ba  0.000  0.500  0.000
Ba  0.500  0.000  0.000
In  0.500  0.500  0.500
Co  0.000  0.000  0.000

Values from the calculation:
* energy above the most stable polymorph in this dataset: 0 meV per atom
* raw total energy: -2.9874 eV per atom
* ΔH_f (0 K): 135 meV per atom
* ρ: 4.9 Mg/m³